[1]
VASP calculation (PBE-GGA) on AsPtSe after structural relaxation.

a b c (Å): 4.450 4.450 4.450
angles (deg): 60.00 60.00 60.00
Positions (direct):
As (0.250, 0.250, 0.250)
Se (0.500, 0.500, 0.500)
Pt (0.000, 0.000, 0.000)

Values from the calculation:
N(E_F), states/eV per cell: 2.04
Space group: No. 216
Total DFT energy (no corrections), eV for the cell shown: -13.09

=====

[2]
VASP calculation (PBE-GGA) on AsPt2Se after structural relaxation.

a b c (Å): 5.567 5.567 3.716
angles (deg): 89.06 89.06 38.67
Positions (direct):
As (0.223, 0.223, 0.134)
Se (0.524, 0.524, 0.598)
Pt (0.984, 0.984, 0.091)
Pt (0.768, 0.768, 0.676)

Values from the calculation:
N(E_F), states/eV per cell: 2.07
Space group: No. 8
Total DFT energy (no corrections), eV for the cell shown: -20.61

=====

[3]
VASP calculation (PBE-GGA) on AsPt2Se after structural relaxation.

a b c (Å): 6.253 6.253 6.240
angles (deg): 59.93 59.93 90.00
Positions (direct):
As (0.500, 0.500, 0.000)
As (0.250, 0.750, 0.500)
Se (0.000, 0.000, 0.000)
Se (0.750, 0.250, 0.500)
Pt (0.616, 0.125, 0.250)
Pt (0.134, 0.625, 0.250)
Pt (0.375, 0.384, 0.750)
Pt (0.875, 0.866, 0.750)

Values from the calculation:
N(E_F), states/eV per cell: 4.72
Space group: No. 122
Total DFT energy (no corrections), eV for the cell shown: -41.15